! KLi2Pb (meta-GGA SCAN, PBEsol geometry); values from VASP
&SYSTEM
  ibrav = 0, nat = 4, ntyp = 3
/
ATOMIC_SPECIES
Li 6.94 Li.upf
K 39.10 K.upf
Pb 207.20 Pb.upf
CELL_PARAMETERS angstrom
-4.206 2.237 -0.828
-3.182 -1.905 -3.103
-4.947 -2.927 3.102
ATOMIC_POSITIONS crystal
Li 0.807 0.807 0.578
K 0.000 0.000 0.000
Li 0.193 0.193 0.422
Pb 0.500 0.500 0.500
! ΔH_f (0 K) (eV/atom): -0.286
! Space-group type: R-3m (166)



! K2LiPt (meta-GGA SCAN, PBEsol geometry); values from VASP
&SYSTEM
  ibrav = 0, nat = 4, ntyp = 3
/
ATOMIC_SPECIES
K 39.10 K.upf
Pt 195.08 Pt.upf
Li 6.94 Li.upf
CELL_PARAMETERS angstrom
3.317 0.000 0.000
0.000 3.317 0.000
0.000 0.000 10.930
ATOMIC_POSITIONS crystal
K 0.000 0.000 0.309
K 0.000 0.000 0.691
Pt 0.500 0.500 0.500
Li 0.500 0.500 0.000
! ΔE to the lowest computed polymorph (eV/atom): 0.143
! ΔH_f (0 K) (eV/atom): 0.193
! Space-group type: P4/mmm (123)



Values for N(E_F), states/eV per atom, ordered as above
0.825, 0.492
Values for VASP energy, Ry/atom, ordered as above
-1.6543, -1.6255
Values for total moment, μB per formula unit, ordered as above
0.00, 0.00